No. 1
Below is a geometry-optimized TiBr2Cl structure, with properties calculated at the PBE level.

Output
raw formation energy	-314	meV/atom
total moment	4.00	μB per cell
relative energy among the computed polymorphs	0.941	eV/atom
calculated volume	84	Å³/f.u.

Cell lengths 6.9412, 6.9412, 6.9412 Å; angles 90.00, 90.00, 90.00 degrees
With the nearest neighbours (Å) after each atom.
Space group Fm-3m (No. 225)
Inequivalent atoms, fractional coordinates:
Ti: 0.0000 0.0000 0.0000 (multiplicity 4)  8 Br 3.01
Br: 0.2500 0.2500 0.2500 (multiplicity 8)  4 Cl 3.01, 4 Ti 3.01
Cl: 0.0000 0.0000 0.5000 (multiplicity 4)  8 Br 3.01

No. 2
Below is a geometry-optimized Ti3Br2Cl4 structure, with properties calculated at the PBE level.

Output
raw formation energy	-1360	meV/atom
total moment	0.00	μB per cell
calculated volume	209	Å³/f.u.

Cell lengths 3.3417, 3.3417, 21.5779 Å; angles 90.00, 90.00, 120.00 degrees
With the nearest neighbours (Å) after each atom.
Space group P3m1 (No. 156)
Inequivalent atoms, fractional coordinates:
Ti: 0.0000 0.0000 0.0000 (multiplicity 1)  6 Br 2.59
Ti: 0.0000 0.0000 0.3463 (multiplicity 1)  6 Cl 2.49
Ti: 0.6667 0.3333 0.6682 (multiplicity 1)  6 Cl 2.49
Br: 0.6667 0.3333 0.0801 (multiplicity 1)  3 Ti 2.59
Br: 0.6667 0.3333 0.9199 (multiplicity 1)  3 Ti 2.59
Cl: 0.0000 0.0000 0.5955 (multiplicity 1)  3 Ti 2.49
Cl: 0.0000 0.0000 0.7408 (multiplicity 1)  3 Ti 2.49
Cl: 0.6667 0.3333 0.2736 (multiplicity 1)  3 Ti 2.49
Cl: 0.6667 0.3333 0.4190 (multiplicity 1)  3 Ti 2.49